A relaxed structure of CrTcPO2, computed with PBE with a Hubbard U.

Cell: 3.630 3.630 5.453 Å, 90.00 90.00 90.00°
Site moments in Bohr magnetons follow the coordinates.
Fractional coordinates of all 5 atoms:
Cr  0.000  0.000  0.000  2.48
Tc  0.500  0.500  0.500  2.90
O  0.000  0.500  0.000  -0.17
O  0.500  0.000  0.000  -0.17
P  0.000  0.000  0.500  -0.10

Output
The value obtained for the density of states at the Fermi level is 2.33 states/eV/cell. The energy above the most stable polymorph in this dataset is 223.3 kJ/mol of formula units. The raw total energy is -34.2 eV/f.u.